First-principles (PBE) data for Mn2BeH after structural relaxation, as listed in Alexandria.

a b c (Å): 3.7035 3.7035 3.7035
angles (deg): 60.00 60.00 60.00
Positions (direct):
H1 0.0000 0.0000 0.0000
Mn1 0.2500 0.2500 0.2500
Mn2 0.7500 0.7500 0.7500
Be1 0.5000 0.5000 0.5000

Final energy in eV/cell: -23.9
V in Å³ per atom: 8.980
Symmetry: Fm-3m, No. 225
Energy above the most stable polymorph in this dataset in meV/atom: 149
N(E_F) in states/eV/cell: 2.7